Density functional theory data (PBE) for a geometry-optimized HoInNi2 structure.

Cell: 3.366 4.532 4.532 Å, 90.00 90.00 90.00°
Sites, in units of the cell vectors:
Ni 0.000 0.000 0.500
Ni 0.000 0.500 0.000
Ho 0.500 0.000 0.000
In 0.500 0.500 0.500

Total magnetization, μB per formula unit: 0.00
Formation energy, meV per atom: -275

***

Density functional theory data (PBE) for a geometry-optimized ThMnRu structure.

Cell: 3.807 4.047 8.163 Å, 90.00 103.49 90.00°
Site moments in Bohr magnetons follow the coordinates.
Sites, in units of the cell vectors:
Mn 0.751 0.750 0.501  3.46
Mn 0.249 0.250 0.499  3.46
Ru 0.369 0.750 0.737  0.31
Ru 0.631 0.250 0.263  0.31
Th 0.091 0.750 0.181  -0.01
Th 0.909 0.250 0.819  -0.01

Total magnetization, μB per formula unit: 3.92
Formation energy, meV per atom: -81

***

Density functional theory data (PBE) for a geometry-optimized AlMo2Cl structure.

Cell: 2.759 4.178 5.967 Å, 90.00 90.00 90.00°
Sites, in units of the cell vectors:
Mo 0.500 0.500 0.231
Mo 0.000 0.000 0.993
Al 0.000 0.000 0.448
Cl 0.500 0.500 0.828

Energy relative to the lowest polymorph listed for this composition, eV per atom: 0.320
Total magnetization, μB per formula unit: 0.00
Formation energy from raw total energies, kJ/mol of atoms: 34.5

***

Density functional theory data (PBE) for a geometry-optimized Ba2ZnNiAu structure.

Cell: 5.853 5.853 4.647 Å, 90.00 90.00 90.00°
Sites, in units of the cell vectors:
Au 0.500 0.500 0.500
Zn 0.000 0.000 0.500
Ba 0.500 0.000 0.000
Ba 0.000 0.500 0.000
Ni 0.000 0.000 0.000

Total magnetization, μB per formula unit: 0.00
Formation energy, meV per atom: -225

***

Density functional theory data (PBE) for a geometry-optimized Tl2Pb2I structure.

Cell: 9.292 9.292 3.894 Å, 90.00 90.00 90.00°
Sites, in units of the cell vectors:
Pb 0.830 0.330 0.500
Pb 0.170 0.670 0.500
Pb 0.670 0.830 0.500
Pb 0.330 0.170 0.500
I 0.500 0.500 0.000
I 0.000 0.000 0.000
Tl 0.130 0.370 0.000
Tl 0.370 0.870 0.000
Tl 0.870 0.630 0.000
Tl 0.630 0.130 0.000

Energy relative to the lowest polymorph listed for this composition, eV per atom: 0.096
Total magnetization, μB per formula unit: 0.00
Formation energy from raw total energies, kJ/mol of atoms: 2.7

***

Density functional theory data (PBE) for a geometry-optimized Hg5Au structure.

Cell: 6.062 6.062 6.062 Å, 60.00 60.00 60.00°
Sites, in units of the cell vectors:
Hg 0.374 0.374 0.877
Hg 0.374 0.877 0.374
Hg 0.750 0.750 0.750
Hg 0.877 0.374 0.374
Hg 0.374 0.374 0.374
Au 0.000 0.000 0.000

Energy relative to the lowest polymorph listed for this composition, eV per atom: 0.210
Total magnetization, μB per formula unit: 0.00
Formation energy, meV per atom: 267

***

Density functional theory data (PBE) for a geometry-optimized In2NiPt2 structure.

Cell: 6.775 6.775 3.950 Å, 90.00 90.00 90.00°
Sites, in units of the cell vectors:
Ni 0.500 0.500 0.000
Ni 0.000 0.000 0.000
In 0.166 0.666 0.500
In 0.334 0.166 0.500
In 0.834 0.334 0.500
In 0.666 0.834 0.500
Pt 0.357 0.857 0.000
Pt 0.143 0.357 0.000
Pt 0.643 0.143 0.000
Pt 0.857 0.643 0.000

Total magnetization, μB per formula unit: 0.00
Formation energy, meV per atom: -211

***

Density functional theory data (PBE) for a geometry-optimized Rb2BeZn3F12 structure.

Cell: 7.036 7.036 7.036 Å, 62.41 62.41 62.41°
Site moments in Bohr magnetons follow the coordinates.
Sites, in units of the cell vectors:
F 0.939 0.939 0.291  0.14
F 0.939 0.291 0.939  0.14
F 0.667 0.063 0.667  0.10
F 0.061 0.709 0.061  0.14
F 0.063 0.667 0.667  0.10
F 0.709 0.061 0.061  0.14
F 0.061 0.061 0.709  0.14
F 0.937 0.333 0.333  0.10
F 0.667 0.667 0.063  0.10
F 0.333 0.333 0.937  0.10
F 0.291 0.939 0.939  0.14
F 0.333 0.937 0.333  0.10
Rb 0.366 0.366 0.366  0.00
Rb 0.634 0.634 0.634  0.00
Be 0.000 0.000 0.000  0.00
Zn 0.000 0.500 0.000  0.16
Zn 0.500 0.000 0.000  0.16
Zn 0.000 0.000 0.500  0.16

Total magnetization, μB per formula unit: 2.01
Formation energy from raw total energies, kJ/mol of atoms: -223.4

***

Density functional theory data (PBE) for a geometry-optimized Hf2Pa3P2N4 structure.

Cell: 4.154 4.154 10.870 Å, 101.02 101.02 90.00°
Site moments in Bohr magnetons follow the coordinates.
Sites, in units of the cell vectors:
Pa 0.837 0.837 0.674  0.82
Pa 0.163 0.163 0.326  0.82
Pa 0.000 0.000 0.000  0.50
Hf 0.584 0.584 0.169  0.06
Hf 0.416 0.416 0.831  0.06
N 0.427 0.927 0.853  -0.03
N 0.927 0.427 0.853  -0.03
N 0.573 0.073 0.147  -0.03
N 0.073 0.573 0.147  -0.03
P 0.704 0.704 0.408  -0.02
P 0.296 0.296 0.592  -0.02

Total magnetization, μB per formula unit: 2.41
Formation energy from raw total energies, kJ/mol of atoms: -122.5

***

Density functional theory data (PBE) for a geometry-optimized Tb3V12Co5 structure.

Cell: 12.778 12.778 12.778 Å, 109.47 109.47 109.47°
Sites, in units of the cell vectors:
V 0.849 0.788 0.839
V 0.651 0.661 0.712
V 0.561 0.510 0.349
V 0.349 0.010 0.561
V 0.288 0.839 0.349
V 0.349 0.339 0.288
V 0.010 0.349 0.061
V 0.490 0.439 0.151
V 0.839 0.551 0.490
V 0.288 0.449 0.439
V 0.990 0.651 0.939
V 0.151 0.212 0.161
V 0.212 0.151 0.661
V 0.839 0.288 0.849
V 0.051 0.561 0.212
V 0.651 0.990 0.439
V 0.339 0.349 0.788
V 0.151 0.939 0.490
V 0.849 0.061 0.510
V 0.551 0.839 0.990
V 0.339 0.990 0.051
V 0.161 0.712 0.151
V 0.949 0.439 0.788
V 0.051 0.490 0.339
V 0.990 0.339 0.551
V 0.661 0.651 0.212
V 0.510 0.561 0.849
V 0.788 0.849 0.339
V 0.939 0.151 0.990
V 0.490 0.051 0.839
V 0.949 0.510 0.661
V 0.712 0.161 0.651
V 0.010 0.661 0.449
V 0.661 0.010 0.949
V 0.212 0.061 0.051
V 0.788 0.939 0.949
V 0.161 0.449 0.510
V 0.712 0.551 0.561
V 0.561 0.051 0.712
V 0.061 0.212 0.551
V 0.449 0.288 0.939
V 0.449 0.161 0.010
V 0.439 0.949 0.288
V 0.510 0.949 0.161
V 0.061 0.849 0.010
V 0.551 0.712 0.061
V 0.939 0.788 0.449
V 0.439 0.490 0.651
Co 0.750 0.625 0.375
Co 0.750 0.125 0.875
Co 0.375 0.250 0.125
Co 0.000 0.500 0.000
Co 0.375 0.125 0.750
Co 0.250 0.875 0.125
Co 0.500 0.000 0.000
Co 0.000 0.500 0.500
Co 0.500 0.500 0.500
Co 0.625 0.750 0.875
Co 0.000 0.000 0.500
Co 0.875 0.625 0.750
Co 0.250 0.375 0.625
Co 0.500 0.000 0.500
Co 0.625 0.875 0.250
Co 0.000 0.000 0.000
Co 0.875 0.250 0.625
Co 0.125 0.750 0.375
Co 0.500 0.500 0.000
Co 0.125 0.375 0.250
Tb 0.875 0.750 0.125
Tb 0.875 0.125 0.250
Tb 0.625 0.250 0.375
Tb 0.625 0.375 0.750
Tb 0.250 0.125 0.375
Tb 0.375 0.625 0.250
Tb 0.375 0.750 0.625
Tb 0.750 0.375 0.125
Tb 0.750 0.875 0.625
Tb 0.125 0.250 0.875
Tb 0.125 0.875 0.750
Tb 0.250 0.625 0.875

Total magnetization, μB per formula unit: 0.00
Formation energy, meV per atom: 817

***

Density functional theory data (PBE) for a geometry-optimized YHo6Al structure.

Cell: 9.132 8.488 6.233 Å, 47.08 42.91 57.46°
Sites, in units of the cell vectors:
Y 0.500 0.500 0.500
Ho 0.556 0.238 0.169
Ho 0.037 0.444 0.758
Ho 0.444 0.762 0.831
Ho 0.963 0.556 0.242
Ho 0.239 0.037 0.281
Ho 0.761 0.963 0.719
Al 0.000 0.000 0.000

Total magnetization, μB per formula unit: 0.00
Formation energy, meV per atom: 45

***

Density functional theory data (PBE) for a geometry-optimized CuPPd2 structure.

Cell: 6.982 6.982 5.558 Å, 51.09 51.09 90.00°
Sites, in units of the cell vectors:
Pd 0.565 0.125 0.250
Pd 0.875 0.815 0.750
Pd 0.185 0.625 0.250
Pd 0.375 0.435 0.750
Cu 0.000 0.000 0.000
Cu 0.750 0.250 0.500
P 0.250 0.750 0.500
P 0.500 0.500 0.000

Total magnetization, μB per formula unit: 0.00
Formation energy, meV per atom: -95